--- a ---
# In2PbSe

A crystal of In2PbSe relaxed with PBEsol (SCAN, Alexandria).

Cell lengths 3.9183, 5.7542, 4.7822 Å; angles 90.00, 90.00, 90.00 degrees
Atoms (fractional coordinates):
In 0.0000 0.0000 0.0000
In 0.5000 0.5000 0.3051
Pb 0.0000 0.5000 0.7998
Se 0.5000 0.0000 0.4037


--- b ---
# In2PbSe

A crystal of In2PbSe relaxed with PBEsol (SCAN, Alexandria).

Cell lengths 3.8114, 3.8114, 6.9902 Å; angles 90.00, 90.00, 90.00 degrees
Atoms (fractional coordinates):
In 0.0000 0.0000 0.0000
In 0.5000 0.5000 0.2624
Pb 0.0000 0.0000 0.5345
Se 0.5000 0.5000 0.7991


--- c ---
# In2PbSe

A crystal of In2PbSe relaxed with PBEsol (SCAN, Alexandria).

Cell lengths 7.4284, 7.4284, 7.4284 Å; angles 90.00, 90.00, 90.00 degrees
Atoms (fractional coordinates):
In 0.0000 0.0000 0.0000
In 0.0000 0.5000 0.5000
In 0.2500 0.2500 0.2500
In 0.2500 0.7500 0.7500
In 0.5000 0.0000 0.5000
In 0.5000 0.5000 0.0000
In 0.7500 0.2500 0.7500
In 0.7500 0.7500 0.2500
Pb 0.0000 0.0000 0.5000
Pb 0.0000 0.5000 0.0000
Pb 0.5000 0.0000 0.0000
Pb 0.5000 0.5000 0.5000
Se 0.2500 0.2500 0.7500
Se 0.2500 0.7500 0.2500
Se 0.7500 0.2500 0.2500
Se 0.7500 0.7500 0.7500


Stability summary: most stable a, least stable c.


--- a ---
# InPb2Se

A crystal of InPb2Se relaxed with PBEsol (SCAN, Alexandria).

Cell lengths 3.8819, 3.8819, 25.9388 Å; angles 90.00, 90.00, 120.00 degrees
Atoms (fractional coordinates):
In 0.0000 0.0000 0.0000
In 0.3333 0.6667 0.6667
In 0.6667 0.3333 0.3333
Pb 0.0000 0.0000 0.2423
Pb 0.0000 0.0000 0.7577
Pb 0.3333 0.6667 0.4243
Pb 0.3333 0.6667 0.9090
Pb 0.6667 0.3333 0.0910
Pb 0.6667 0.3333 0.5757
Se 0.0000 0.0000 0.5000
Se 0.3333 0.6667 0.1667
Se 0.6667 0.3333 0.8333


--- b ---
# InPb2Se

A crystal of InPb2Se relaxed with PBEsol (SCAN, Alexandria).

Cell lengths 3.8689, 3.8689, 7.1280 Å; angles 90.00, 90.00, 90.00 degrees
Atoms (fractional coordinates):
In 0.0000 0.0000 0.0000
Pb 0.5000 0.5000 0.2726
Pb 0.5000 0.5000 0.7274
Se 0.0000 0.0000 0.5000


Stability summary: most stable a, least stable b.


--- a ---
# InSi2Pb

A crystal of InSi2Pb relaxed with PBEsol (SCAN, Alexandria).

Cell lengths 4.5811, 4.5811, 8.2770 Å; angles 90.00, 90.00, 90.00 degrees
Atoms (fractional coordinates):
In 0.0000 0.0000 0.0000
In 0.5000 0.5000 0.5000
Si 0.0000 0.0000 0.5000
Si 0.0000 0.5000 0.7500
Si 0.5000 0.0000 0.2500
Si 0.5000 0.5000 0.0000
Pb 0.0000 0.5000 0.2500
Pb 0.5000 0.0000 0.7500


--- b ---
# InSi2Pb

A crystal of InSi2Pb relaxed with PBEsol (SCAN, Alexandria).

Cell lengths 6.5419, 7.4374, 3.5357 Å; angles 90.00, 90.00, 90.00 degrees
Atoms (fractional coordinates):
In 0.0000 0.0000 0.0000
In 0.5000 0.5000 0.0000
Si 0.2500 0.2500 0.5000
Si 0.2500 0.7500 0.5000
Si 0.7500 0.2500 0.5000
Si 0.7500 0.7500 0.5000
Pb 0.0000 0.5000 0.0000
Pb 0.5000 0.0000 0.0000


Stability summary: most stable b, least stable a.


--- a ---
# In2SiPb

A crystal of In2SiPb relaxed with PBEsol (SCAN, Alexandria).

Cell lengths 3.4962, 3.5616, 7.6500 Å; angles 90.00, 90.00, 90.00 degrees
Atoms (fractional coordinates):
In 0.0000 0.0000 0.2075
In 0.0000 0.0000 0.7925
Si 0.5000 0.5000 0.0000
Pb 0.5000 0.5000 0.5000


--- b ---
# In2SiPb

A crystal of In2SiPb relaxed with PBEsol (SCAN, Alexandria).

Cell lengths 4.4185, 4.5279, 4.8141 Å; angles 90.00, 90.00, 90.00 degrees
Atoms (fractional coordinates):
In 0.0000 0.0000 0.0000
In 0.5000 0.0000 0.5000
Si 0.0000 0.5000 0.5000
Pb 0.5000 0.5000 0.0000


--- c ---
# In2SiPb

A crystal of In2SiPb relaxed with PBEsol (SCAN, Alexandria).

Cell lengths 7.2820, 7.2820, 7.2820 Å; angles 90.00, 90.00, 90.00 degrees
Atoms (fractional coordinates):
In 0.2500 0.2500 0.2500
In 0.2500 0.2500 0.7500
In 0.2500 0.7500 0.2500
In 0.2500 0.7500 0.7500
In 0.7500 0.2500 0.2500
In 0.7500 0.2500 0.7500
In 0.7500 0.7500 0.2500
In 0.7500 0.7500 0.7500
Si 0.0000 0.0000 0.0000
Si 0.0000 0.5000 0.5000
Si 0.5000 0.0000 0.5000
Si 0.5000 0.5000 0.0000
Pb 0.0000 0.0000 0.5000
Pb 0.0000 0.5000 0.0000
Pb 0.5000 0.0000 0.0000
Pb 0.5000 0.5000 0.5000


--- d ---
# In2SiPb

A crystal of In2SiPb relaxed with PBEsol (SCAN, Alexandria).

Cell lengths 3.3661, 3.3661, 29.8082 Å; angles 90.00, 90.00, 120.00 degrees
Atoms (fractional coordinates):
In 0.0000 0.0000 0.0000
In 0.0000 0.0000 0.2470
In 0.3333 0.6667 0.6667
In 0.3333 0.6667 0.9137
In 0.6667 0.3333 0.3333
In 0.6667 0.3333 0.5803
Si 0.0000 0.0000 0.7377
Si 0.3333 0.6667 0.4043
Si 0.6667 0.3333 0.0710
Pb 0.0000 0.0000 0.4835
Pb 0.3333 0.6667 0.1502
Pb 0.6667 0.3333 0.8168


Stability summary: most stable a, least stable c.


--- a ---
# TaInPb

A crystal of TaInPb relaxed with PBEsol (SCAN, Alexandria).

Cell lengths 5.0758, 5.0758, 2.9421 Å; angles 90.00, 90.00, 120.00 degrees
Atoms (fractional coordinates):
Ta 0.0000 0.0000 0.0000
In 0.3333 0.6667 0.3912
Pb 0.6667 0.3333 0.7066


--- b ---
# TaInPb

A crystal of TaInPb relaxed with PBEsol (SCAN, Alexandria).

Cell lengths 3.2640, 3.9728, 9.8924 Å; angles 90.00, 90.00, 90.00 degrees
Atoms (fractional coordinates):
Ta 0.0000 0.0000 0.0000
Ta 0.5000 0.5000 0.5000
In 0.0000 0.0000 0.3510
In 0.5000 0.5000 0.8510
Pb 0.0000 0.0000 0.6671
Pb 0.5000 0.5000 0.1671


Stability summary: most stable b, least stable a.


--- a ---
# InTc2Pb

A crystal of InTc2Pb relaxed with PBEsol (SCAN, Alexandria).

Cell lengths 4.0315, 4.0315, 8.6676 Å; angles 90.00, 90.00, 90.00 degrees
Atoms (fractional coordinates):
In 0.0000 0.0000 0.0000
In 0.5000 0.5000 0.5000
Tc 0.0000 0.0000 0.5000
Tc 0.0000 0.5000 0.7500
Tc 0.5000 0.0000 0.2500
Tc 0.5000 0.5000 0.0000
Pb 0.0000 0.5000 0.2500
Pb 0.5000 0.0000 0.7500


--- b ---
# InTc2Pb

A crystal of InTc2Pb relaxed with PBEsol (SCAN, Alexandria).

Cell lengths 3.0210, 3.0210, 8.4910 Å; angles 90.00, 90.00, 90.00 degrees
Atoms (fractional coordinates):
In 0.0000 0.0000 0.0000
Tc 0.0000 0.0000 0.6061
Tc 0.5000 0.5000 0.7692
Pb 0.5000 0.5000 0.3490


Stability summary: most stable b, least stable a.